Computed, not measured: a relaxed structure of Tb6As3PSe2 at the GGA-PBE level of DFT.

```
data_Tb6As3PSe2
_chemical_formula_sum 'Tb12 As6 P2 Se4'
_cell_length_a 17.919
_cell_length_b 4.108
_cell_length_c 8.220
_cell_angle_alpha 90.00
_cell_angle_beta 103.20
_cell_angle_gamma 90.00
_symmetry_space_group_name_H-M 'C 1 2/m 1'
_symmetry_Int_Tables_number 12
loop_
_symmetry_equiv_pos_as_xyz
'x,y,z'
'-x,-y,-z'
'-x,y,-z'
'x,-y,z'
'x+1/2,y+1/2,z'
'-x+1/2,-y+1/2,-z'
'-x+1/2,y+1/2,-z'
'x+1/2,-y+1/2,z'
loop_
_atom_site_label
_atom_site_fract_x
_atom_site_fract_y
_atom_site_fract_z
Tb1 0.002 0.000 0.258
Tb2 0.163 0.500 0.090
Tb3 0.163 0.500 0.575
As1 0.000 0.500 0.000
As2 0.169 0.000 0.334
P1 0.000 0.500 0.500
Se1 0.167 0.000 0.835
```

Output
The calculation puts the raw formation energy at -1693 meV per atom. The total energy comes out at -6.20 eV/atom.

***

Computed, not measured: a relaxed structure of Tb6AsP2Se3 at the GGA-PBE level of DFT.

```
data_Tb6AsP2Se3
_chemical_formula_sum 'Tb12 As2 P4 Se6'
_cell_length_a 17.883
_cell_length_b 4.066
_cell_length_c 8.211
_cell_angle_alpha 90.00
_cell_angle_beta 104.08
_cell_angle_gamma 90.00
_symmetry_space_group_name_H-M 'C 1 2/m 1'
_symmetry_Int_Tables_number 12
loop_
_symmetry_equiv_pos_as_xyz
'x,y,z'
'-x,-y,-z'
'-x,y,-z'
'x,-y,z'
'x+1/2,y+1/2,z'
'-x+1/2,-y+1/2,-z'
'-x+1/2,y+1/2,-z'
'x+1/2,-y+1/2,z'
loop_
_atom_site_label
_atom_site_fract_x
_atom_site_fract_y
_atom_site_fract_z
Tb1 0.006 0.000 0.247
Tb2 0.166 0.500 0.100
Tb3 0.172 0.500 0.572
As1 0.000 0.500 0.000
P1 0.167 0.000 0.334
Se1 0.000 0.500 0.500
Se2 0.165 0.000 0.834
```

Output
The calculation puts the raw formation energy at -1769 meV per atom. The total energy comes out at -6.24 eV/atom.

***

Computed, not measured: a relaxed structure of TcAs2PSe at the GGA-PBE level of DFT.

```
data_TcAs2PSe
_chemical_formula_sum 'Tc1 As2 P1 Se1'
_cell_length_a 4.867
_cell_length_b 4.867
_cell_length_c 4.645
_cell_angle_alpha 90.00
_cell_angle_beta 90.00
_cell_angle_gamma 90.00
_symmetry_space_group_name_H-M 'P 4/m m m'
_symmetry_Int_Tables_number 123
_symmetry_space_group_name_Hall '-P 4 2'
loop_
_atom_site_label
_atom_site_fract_x
_atom_site_fract_y
_atom_site_fract_z
Tc1 0.000 0.000 0.000
As1 0.000 0.500 0.000
P1 0.500 0.500 0.500
Se1 0.000 0.000 0.500
```

Output
The calculation puts the raw formation energy at 760 meV per atom. The total energy comes out at -4.95 eV/atom. The energy above the most stable polymorph in this dataset is 1.71 eV per formula unit.

***

Computed, not measured: a relaxed structure of TcAsPSe2 at the GGA-PBE level of DFT.

```
data_TcAsPSe2
_chemical_formula_sum 'Tc1 As1 P1 Se2'
_cell_length_a 4.667
_cell_length_b 4.667
_cell_length_c 4.560
_cell_angle_alpha 90.00
_cell_angle_beta 90.00
_cell_angle_gamma 90.00
_symmetry_space_group_name_H-M 'P 4/m m m'
_symmetry_Int_Tables_number 123
_symmetry_space_group_name_Hall '-P 4 2'
loop_
_atom_site_label
_atom_site_fract_x
_atom_site_fract_y
_atom_site_fract_z
Tc1 0.000 0.000 0.000
As1 0.500 0.500 0.000
P1 0.500 0.500 0.500
Se1 0.000 0.500 0.500
```

Output
The calculation puts the raw formation energy at 1118 meV per atom. The total energy comes out at -4.36 eV/atom. The energy above the most stable polymorph in this dataset is 1.75 eV per formula unit.

***

Computed, not measured: a relaxed structure of TcAs2PSe at the GGA-PBE level of DFT.

```
data_TcAs2PSe
_chemical_formula_sum 'Tc1 As2 P1 Se1'
_cell_length_a 4.658
_cell_length_b 4.658
_cell_length_c 4.801
_cell_angle_alpha 90.00
_cell_angle_beta 90.00
_cell_angle_gamma 90.00
_symmetry_space_group_name_H-M 'P 4/m m m'
_symmetry_Int_Tables_number 123
_symmetry_space_group_name_Hall '-P 4 2'
loop_
_atom_site_label
_atom_site_fract_x
_atom_site_fract_y
_atom_site_fract_z
Tc1 0.000 0.000 0.000
As1 0.000 0.500 0.500
P1 0.500 0.500 0.500
Se1 0.500 0.500 0.000
```

Output
The calculation puts the raw formation energy at 1079 meV per atom. The total energy comes out at -4.63 eV/atom. The energy above the most stable polymorph in this dataset is 3.30 eV per formula unit.

***

Computed, not measured: a relaxed structure of TcAs2PSe at the GGA-PBE level of DFT.

```
data_TcAs2PSe
_chemical_formula_sum 'Tc1 As2 P1 Se1'
_cell_length_a 4.847
_cell_length_b 4.847
_cell_length_c 4.506
_cell_angle_alpha 90.00
_cell_angle_beta 90.00
_cell_angle_gamma 90.00
_symmetry_space_group_name_H-M 'P 4/m m m'
_symmetry_Int_Tables_number 123
_symmetry_space_group_name_Hall '-P 4 2'
loop_
_atom_site_label
_atom_site_fract_x
_atom_site_fract_y
_atom_site_fract_z
Tc1 0.000 0.000 0.000
As1 0.000 0.500 0.000
P1 0.000 0.000 0.500
Se1 0.500 0.500 0.500
```

Output
The calculation puts the raw formation energy at 419 meV per atom. The total energy comes out at -5.29 eV/atom. The energy above the most stable polymorph in this dataset is 0.00 eV per formula unit.

***

Computed, not measured: a relaxed structure of TcAsPSe2 at the GGA-PBE level of DFT.

```
data_TcAsPSe2
_chemical_formula_sum 'Tc1 As1 P1 Se2'
_cell_length_a 4.788
_cell_length_b 4.788
_cell_length_c 4.861
_cell_angle_alpha 90.00
_cell_angle_beta 90.00
_cell_angle_gamma 90.00
_symmetry_space_group_name_H-M 'P 4/m m m'
_symmetry_Int_Tables_number 123
_symmetry_space_group_name_Hall '-P 4 2'
loop_
_atom_site_label
_atom_site_fract_x
_atom_site_fract_y
_atom_site_fract_z
Tc1 0.000 0.000 0.000
As1 0.000 0.000 0.500
P1 0.500 0.500 0.500
Se1 0.000 0.500 0.000
```

Output
The calculation puts the raw formation energy at 768 meV per atom. The total energy comes out at -4.71 eV/atom. The energy above the most stable polymorph in this dataset is 0.00 eV per formula unit.

***

Computed, not measured: a relaxed structure of TeAsPSe2 at the GGA-PBE level of DFT.

```
data_TeAsPSe2
_chemical_formula_sum 'Te1 As1 P1 Se2'
_cell_length_a 5.294
_cell_length_b 5.294
_cell_length_c 5.515
_cell_angle_alpha 90.00
_cell_angle_beta 90.00
_cell_angle_gamma 90.00
_symmetry_space_group_name_H-M 'P 4/m m m'
_symmetry_Int_Tables_number 123
_symmetry_space_group_name_Hall '-P 4 2'
loop_
_atom_site_label
_atom_site_fract_x
_atom_site_fract_y
_atom_site_fract_z
Te1 0.000 0.000 0.000
As1 0.000 0.000 0.500
P1 0.500 0.500 0.500
Se1 0.000 0.500 0.000
```

Output
The calculation puts the raw formation energy at 1189 meV per atom. The total energy comes out at -2.84 eV/atom. The energy above the most stable polymorph in this dataset is 3.34 eV per formula unit.

***

Computed, not measured: a relaxed structure of TeAsPSe2 at the GGA-PBE level of DFT.

```
data_TeAsPSe2
_chemical_formula_sum 'Te1 As1 P1 Se2'
_cell_length_a 4.873
_cell_length_b 4.873
_cell_length_c 4.851
_cell_angle_alpha 90.00
_cell_angle_beta 90.00
_cell_angle_gamma 90.00
_symmetry_space_group_name_H-M 'P 4/m m m'
_symmetry_Int_Tables_number 123
_symmetry_space_group_name_Hall '-P 4 2'
loop_
_atom_site_label
_atom_site_fract_x
_atom_site_fract_y
_atom_site_fract_z
Te1 0.000 0.000 0.000
As1 0.500 0.500 0.000
P1 0.500 0.500 0.500
Se1 0.000 0.500 0.500
```

Output
The calculation puts the raw formation energy at 521 meV per atom. The total energy comes out at -3.51 eV/atom. The energy above the most stable polymorph in this dataset is 0.00 eV per formula unit.

***

Computed, not measured: a relaxed structure of Th8As3PSe4 at the GGA-PBE level of DFT.

```
data_Th8As3PSe4
_chemical_formula_sum 'Th24 As9 P3 Se12'
_cell_length_a 8.4425
_cell_length_b 8.4425
_cell_length_c 20.6170
_cell_angle_alpha 90.00
_cell_angle_beta 90.00
_cell_angle_gamma 120.00
_symmetry_space_group_name_H-M 'R -3 m'
_symmetry_Int_Tables_number 166
_symmetry_space_group_name_Hall '-R 3 2"'
loop_
_atom_site_label
_atom_site_fract_x
_atom_site_fract_y
_atom_site_fract_z
Th1 0.0000 0.0000 0.2484
Th2 0.0079 0.5039 0.2464
As1 0.0000 0.5000 0.5000
P1 0.0000 0.0000 0.5000
Se1 0.0000 0.0000 0.0000
Se2 0.0000 0.5000 0.0000
```

Output
The calculation puts the raw formation energy at -1524 meV per atom. The total energy comes out at -7.31 eV/atom.

***

Among the records above, which one has the lowest raw formation energy? Tb6AsP2Se3